Ca2OsPtCl: optimized geometry, PBE.

The calculation puts the formation energy without anion corrections at 0.388 eV per atom.

The structure belongs to space group P4/mmm (No. 123); the cell edges are 5.086, 5.086 and 4.556 Å and the angles 90.00°, 90.00° and 90.00°. The inequivalent atoms are Ca at (0.000, 0.500, 0.000), Os at (0.000, 0.000, 0.500), Pt at (0.500, 0.500, 0.500) and Cl at (0.500, 0.500, 0.000).

***

CaOsSCl2: optimized geometry, PBE.

Its energy above the most stable polymorph in this dataset is 0.0 meV/atom. The calculation puts the formation energy without anion corrections at -0.444 eV per atom.

The structure belongs to space group P4/mmm (No. 123); the cell edges are 4.910, 4.910 and 4.575 Å and the angles 90.00°, 90.00° and 90.00°. The inequivalent atoms are Ca at (0.000, 0.000, 0.000), Os at (0.500, 0.500, 0.500), S at (0.500, 0.500, 0.000) and Cl at (0.000, 0.500, 0.500).